(1)
## Mg2AsSe (PBE)

Data for an optimized crystal structure of Mg2AsSe.

Values from the calculation:
Formation energy (no corrections) (eV per formula unit): -1.79
Total magnetization (μB per cell): 0.0

Cell: 3.565 4.036 6.134 Å, 90.00 90.00 90.00°
Space group Pmmm (No. 47)
Asymmetric unit:
Mg 0.000 0.000 0.000 [1 per cell]
Mg 0.000 0.500 0.500 [1 per cell]
As 0.500 0.000 0.500 [1 per cell]
Se 0.500 0.500 0.000 [1 per cell]

(2)
## CrSnSe2 (PBE)

Data for an optimized crystal structure of CrSnSe2.

Values from the calculation:
Formation energy (no corrections) (eV per formula unit): -0.73
Total magnetization (μB per cell): 16.0

Cell: 4.038 21.064 4.892 Å, 90.00 90.00 90.00°
Space group Cmcm (No. 63)
Asymmetric unit:
Cr 0.000 0.064 0.250 [4 per cell]
Sn 0.000 0.327 0.250 [4 per cell]
Se 0.000 0.056 0.750 [4 per cell]
Se 0.000 0.185 0.250 [4 per cell]

(3)
## LiPuZnO5 (PBE)

Data for an optimized crystal structure of LiPuZnO5.

Values from the calculation:
Formation energy (no corrections) (eV per formula unit): -15.99
Total magnetization (μB per cell): 4.0

Cell: 6.362 10.028 7.549 Å, 90.00 109.18 90.00°
Space group C2/c (No. 15)
Asymmetric unit:
Li 0.000 0.026 0.250 [4 per cell]
Pu 0.250 0.250 0.000 [4 per cell]
Zn 0.000 0.469 0.250 [4 per cell]
O 0.000 0.335 0.750 [4 per cell]
O 0.032 0.161 0.062 [8 per cell]
O 0.219 0.419 0.146 [8 per cell]

(4)
## Be2GaC (PBE)

Data for an optimized crystal structure of Be2GaC.

Values from the calculation:
Total magnetization (μB per cell): 0.0
Formation energy from the elements (eV per atom): 1.312
Relative energy among the computed polymorphs (eV per atom): 0.885

Cell: 5.510 5.510 5.510 Å, 90.00 90.00 90.00°
Space group Fm-3m (No. 225)
Asymmetric unit:
Be 0.250 0.250 0.250 [8 per cell]
Ga 0.000 0.000 0.000 [4 per cell]
C 0.000 0.000 0.500 [4 per cell]

(5)
## Sr2CaPd4Pb3 (PBE)

Data for an optimized crystal structure of Sr2CaPd4Pb3.

Values from the calculation:
Total magnetization (μB per cell): 0.0
Formation energy from the elements (eV per atom): -0.549

Cell: 4.766 4.766 11.494 Å, 90.00 90.00 90.00°
Space group P-4m2 (No. 115)
Asymmetric unit:
Sr 0.000 0.500 0.225 [2 per cell]
Ca 0.000 0.000 0.500 [1 per cell]
Pd 0.000 0.000 0.000 [1 per cell]
Pd 0.000 0.500 0.641 [2 per cell]
Pd 0.500 0.500 0.000 [1 per cell]
Pb 0.000 0.500 0.878 [2 per cell]
Pb 0.500 0.500 0.500 [1 per cell]

(6)
## BeCuSeN2 (PBE)

Data for an optimized crystal structure of BeCuSeN2.

Values from the calculation:
Formation energy (no corrections) (eV per formula unit): 5.35
Total magnetization (μB per cell): 2.1
Relative energy among the computed polymorphs (eV per atom): 0.000

Cell: 3.391 3.391 6.006 Å, 90.00 90.00 90.00°
Space group P4/mmm (No. 123)
Asymmetric unit:
Be 0.000 0.000 0.000 [1 per cell]
Cu 0.500 0.500 0.500 [1 per cell]
Se 0.000 0.000 0.500 [1 per cell]
N 0.000 0.500 0.000 [2 per cell]

(7)
## LiPdPtF6 (PBE)

Data for an optimized crystal structure of LiPdPtF6.

Values from the calculation:
Formation energy (no corrections) (eV per formula unit): -14.01
Total magnetization (μB per cell): 2.0

Cell: 5.3102 5.3102 9.8117 Å, 90.00 90.00 120.00°
Space group P-31c (No. 163)
Asymmetric unit:
Li 0.3333 0.6667 0.2500 [2 per cell]
Pd 0.0000 0.0000 0.0000 [2 per cell]
Pt 0.3333 0.6667 0.7500 [2 per cell]
F 0.0089 0.3518 0.6371 [12 per cell]

(8)
## K2PuI5 (PBE)

Data for an optimized crystal structure of K2PuI5.

Values from the calculation:
Formation energy (no corrections) (eV per formula unit): -10.19
Total magnetization (μB per cell): 20.0
Relative energy among the computed polymorphs (eV per atom): 0.000

Cell: 14.724 9.812 9.230 Å, 90.00 90.00 90.00°
Space group Pnma (No. 62)
Asymmetric unit:
K 0.171 0.004 0.061 [8 per cell]
Pu 0.002 0.250 0.568 [4 per cell]
I 0.007 0.250 0.924 [4 per cell]
I 0.078 0.542 0.666 [8 per cell]
I 0.181 0.250 0.377 [4 per cell]
I 0.205 0.750 0.342 [4 per cell]

(9)
## SiAuS (PBE)

Data for an optimized crystal structure of SiAuS.

Values from the calculation:
Formation energy (no corrections) (eV per formula unit): -0.50
Total magnetization (μB per cell): 0.0

Cell: 3.292 5.245 8.452 Å, 90.55 100.98 108.11°
Space group P-1 (No. 2)
Asymmetric unit:
Si 0.047 0.383 0.182 [2 per cell]
Au 0.208 0.836 0.093 [2 per cell]
S 0.454 0.764 0.670 [2 per cell]

(10)
## CrCd2Ag (PBE)

Data for an optimized crystal structure of CrCd2Ag.

Values from the calculation:
Total magnetization (μB per cell): 4.0
Formation energy from the elements (eV per atom): 0.239

Cell: 3.044 4.856 5.182 Å, 90.00 90.00 90.00°
Space group Pmm2 (No. 25)
Asymmetric unit:
Cr 0.000 0.000 0.000 [1 per cell]
Cd 0.500 0.000 0.501 [1 per cell]
Cd 0.500 0.500 0.154 [1 per cell]
Ag 0.000 0.500 0.669 [1 per cell]

(11)
## TmSi4Ir4 (PBE)

Data for an optimized crystal structure of TmSi4Ir4.

Values from the calculation:
Formation energy (no corrections) (eV per formula unit): -5.42
Total magnetization (μB per cell): 0.0

Cell: 8.472 8.472 4.377 Å, 90.00 90.00 90.00°
Space group I4/m (No. 87)
Asymmetric unit:
Tm 0.000 0.000 0.000 [2 per cell]
Si 0.183 0.303 0.500 [8 per cell]
Ir 0.083 0.350 0.000 [8 per cell]

(12)
## YTi2CdO (PBE)

Data for an optimized crystal structure of YTi2CdO.

Values from the calculation:
Formation energy (no corrections) (eV per formula unit): -5.29
Total magnetization (μB per cell): 0.9

Cell: 4.242 4.242 4.715 Å, 90.00 90.00 90.00°
Space group P4/mmm (No. 123)
Asymmetric unit:
Y 0.000 0.000 0.000 [1 per cell]
Ti 0.000 0.500 0.500 [2 per cell]
Cd 0.500 0.500 0.000 [1 per cell]
O 0.000 0.000 0.500 [1 per cell]

Q: Which of these has the highest total magnetization?
A: K2PuI5

Q: The highest total magnetization belongs to which entry?
A: K2PuI5